Entry 1:
VASP calculation (PBE) on a geometry-optimized KOsRh structure.

Cell: 16.2229 7.7139 7.7139 Å, 159.29 154.99 25.01°
Last column: nearest neighbours and their distance in Å.
Fractional positions:
Os 0.6331 0.3621 0.6379  4 Os 2.51-2.77, 3 Rh 2.57-2.71
Os 0.3416 0.0838 0.9162  4 Os 2.51-2.77, 2 Rh 2.55
K 0.3468 0.3276 0.6724  2 K 2.77
K 0.8501 0.4701 0.5299  2 K 2.77
Rh 0.0621 0.9394 0.0606  3 Os 2.55-2.71, 4 Rh 2.68-2.77
Rh 0.8298 0.7849 0.2151  2 Os 2.57, 4 Rh 2.68-2.77

Properties
energy of formation from the pure elements: 1.981 eV per formula unit

Entry 2:
VASP calculation (PBE) on a geometry-optimized KScOs2Rh structure.

Cell: 4.6825 4.9110 4.6825 Å, 90.00 90.00 90.00°
Last column: nearest neighbours and their distance in Å.
Fractional positions:
Os 0.0000 0.0000 0.5000  2 Sc 2.34
Os 0.5000 0.0000 0.0000  2 Sc 2.34
Rh 0.5000 0.5000 0.5000  4 K 3.31, 8 Os 3.39
Sc 0.0000 0.0000 0.0000  4 Os 2.34, 2 K 2.46
K 0.0000 0.5000 0.0000  2 Sc 2.46

Properties
energy of formation from the pure elements: 10.488 eV per formula unit

Entry 3:
VASP calculation (PBE) on a geometry-optimized K3OsRh3Se8 structure.

Cell: 7.6566 7.6635 8.5571 Å, 116.67 90.00 119.97°
Last column: nearest neighbours and their distance in Å.
Fractional positions:
Se 0.7226 0.4453 0.6680  3 Rh 2.53
Se 0.7765 0.0537 0.3298  2 Rh 2.54, 1 Os 2.54
Se 0.7229 0.9464 0.6702  2 Rh 2.54, 1 Os 2.54
Se 0.2771 0.0536 0.3298  2 Rh 2.54, 1 Os 2.54
Se 0.2238 0.4476 0.6703  2 Rh 2.54, 1 Os 2.54
Se 0.2235 0.9463 0.6702  2 Rh 2.54, 1 Os 2.54
Se 0.2774 0.5547 0.3320  3 Rh 2.53
Se 0.7762 0.5524 0.3297  2 Rh 2.54, 1 Os 2.54
Rh 0.5000 0.5000 0.5000  6 Se 2.53-2.54
Rh 0.0000 0.5000 0.5000  6 Se 2.53-2.54
Rh 0.5000 0.0000 0.5000  6 Se 2.53-2.54
Os 0.0000 0.0000 0.5000  6 Se 2.54
K 0.5000 0.5000 0.0000  6 Se 3.28-3.29
K 0.0000 0.5000 0.0000  6 Se 3.28-3.29
K 0.0000 0.0000 0.0000  6 Se 3.27-3.29

Properties
ΔE_f (raw): -0.567 eV per atom

Entry 4:
VASP calculation (PBE) on a geometry-optimized KTcOsRh2 structure.

Cell: 4.8699 4.7415 4.8699 Å, 90.00 90.00 90.00°
Last column: nearest neighbours and their distance in Å.
Fractional positions:
Tc 0.0000 0.5000 0.0000  2 Os 2.37
Os 0.0000 0.0000 0.0000  2 Tc 2.37, 4 Rh 2.43
Rh 0.5000 0.0000 0.0000  2 Os 2.43
Rh 0.0000 0.0000 0.5000  2 Os 2.43
K 0.5000 0.5000 0.5000  8 Rh 3.40, 4 Tc 3.44

Properties
energy of formation from the pure elements: 5.914 eV per formula unit

Entry 5:
VASP calculation (PBE) on a geometry-optimized K2ZnOsRh structure.

Cell: 5.8720 4.7405 5.8720 Å, 90.00 90.00 90.00°
Last column: nearest neighbours and their distance in Å.
Fractional positions:
Rh 0.0000 0.5000 0.0000  2 Zn 2.37
Os 0.5000 0.5000 0.5000  8 K 3.77, 4 Rh 4.15
K 0.0000 0.0000 0.5000  2 Zn 2.94
K 0.5000 0.0000 0.0000  2 Zn 2.94
Zn 0.0000 0.0000 0.0000  2 Rh 2.37

Properties
energy of formation from the pure elements: 8.075 eV per formula unit

Entry 6:
VASP calculation (PBE) on a geometry-optimized KOs2Ru structure.

Cell: 5.9211 5.9211 5.9211 Å, 153.63 131.31 56.22°
Last column: nearest neighbours and their distance in Å.
Fractional positions:
Os 0.0338 0.0338 0.0000  2 Ru 2.63, 6 Os 2.70-2.88
Os 0.4662 0.4662 0.0000  2 Ru 2.63, 6 Os 2.70-2.88
K 0.7500 0.2500 0.5000  2 K 2.70, 4 Ru 2.79
Ru 0.2500 0.7500 0.5000  4 Os 2.63, 2 Ru 2.70, 4 K 2.79

Properties
energy of formation from the pure elements: 4.664 eV per formula unit

Entry 7:
VASP calculation (PBE) on a geometry-optimized KOs3Ru structure.

Cell: 4.7699 4.7699 4.7699 Å, 90.00 90.00 90.00°
Last column: nearest neighbours and their distance in Å.
Fractional positions:
K 0.5000 0.5000 0.5000  12 Os 3.37
Ru 0.0000 0.0000 0.0000  6 Os 2.38
Os 0.5000 0.0000 0.0000  2 Ru 2.38
Os 0.0000 0.5000 0.0000  2 Ru 2.38
Os 0.0000 0.0000 0.5000  2 Ru 2.38

Properties
energy of formation from the pure elements: 10.733 eV per formula unit

Entry 8:
VASP calculation (PBE) on a geometry-optimized KOsRu2 structure.

Cell: 2.7200 2.7200 10.3174 Å, 90.00 90.00 117.92°
Last column: nearest neighbours and their distance in Å.
Fractional positions:
Os 0.5000 0.5000 0.7832  2 Ru 2.65, 6 Os 2.72-2.81
Ru 0.5000 0.5000 0.2171  8 Ru 2.63-2.81
Ru 0.0000 0.0000 0.0010  8 Ru 2.63-2.81, 2 Os 2.65
K 0.0000 0.0000 0.4987  6 K 2.72-2.81

Properties
energy of formation from the pure elements: 3.825 eV per formula unit

Number 1: calculated total energy -5.899 eV/atom. Number 2: calculated total energy -5.350 eV/atom. Number 3: calculated total energy -4.864 eV/atom. Number 4: calculated total energy -6.296 eV/atom. Number 5: calculated total energy -2.795 eV/atom. Number 6: calculated total energy -7.042 eV/atom. Number 7: calculated total energy -6.666 eV/atom. Number 8: calculated total energy -6.763 eV/atom.